Record 1
The following is a DFT calculation (PBE) of crystalline BaAc2PuO6 at its relaxed geometry.

The structure in extended XYZ format:
```
10
Lattice="5.757 0.000 0.000 0.000 5.757 0.000 0.000 0.000 6.121" Properties=species:S:1:pos:R:3 pbc="T T T"
Ba 0.000 0.000 0.000
Ac 0.000 2.878 2.813
Ac 2.878 0.000 2.813
Pu 2.878 2.878 0.398
O 0.000 0.000 3.601
O 1.527 1.527 1.380
O 1.527 4.229 1.380
O 2.878 2.878 4.313
O 4.229 1.527 1.380
O 4.229 4.229 1.380
```

Calculated values
- VASP energy (eV/atom) = -8.2654
- DOS(E_F) (states/eV/cell) = 12.91
- symmetry = P4mm (99)
- spin magnetization (μB/f.u.) = 4.0

=====

Record 2
The following is a DFT calculation (PBE) of crystalline MgTl2OsO at its relaxed geometry.

The structure in extended XYZ format:
```
5
Lattice="5.469 0.000 0.000 0.000 5.469 0.000 0.000 0.000 4.807" Properties=species:S:1:pos:R:3 pbc="T T T"
Mg 0.000 0.000 0.000
Tl 0.000 2.735 0.000
Tl 2.735 0.000 0.000
Os 0.000 0.000 2.403
O 2.735 2.735 2.403
```

Calculated values
- VASP energy (eV/atom) = -2.9850
- DOS(E_F) (states/eV/cell) = 5.51
- symmetry = P4/mmm (123)
- spin magnetization (μB/f.u.) = 3.1

=====

Record 3
The following is a DFT calculation (PBE) of crystalline Li2ZrIn2 at its relaxed geometry.

The structure in extended XYZ format:
```
10
Lattice="7.984 0.000 0.000 0.000 7.984 0.000 0.000 0.000 2.999" Properties=species:S:1:pos:R:3 pbc="T T T"
Li 0.926 3.066 0.000
Li 3.066 7.058 0.000
Li 4.918 0.926 0.000
Li 7.058 4.918 0.000
Zr 0.000 0.000 0.000
Zr 3.992 3.992 0.000
In 1.456 5.448 1.499
In 2.536 1.456 1.499
In 5.448 6.528 1.499
In 6.528 2.536 1.499
```

Calculated values
- VASP energy (eV/atom) = -3.7898
- energy relative to the elements (eV/atom) = -0.219
- DOS(E_F) (states/eV/cell) = 2.91
- symmetry = P4/mbm (127)
- spin magnetization (μB/f.u.) = 0.0